No. 1
DFT (GGA-PBE) results for a relaxed structure of Pm3Sm2S4.

The uncorrected formation energy comes out at -1.7691 eV per atom. The value obtained for the total energy is -56.12 eV/cell.

Cell lengths 3.9851, 3.9851, 16.3565 Å; angles 90.00, 90.00, 120.00 degrees
Space group P-3m1 (No. 164)
Inequivalent atoms, fractional coordinates:
Pm (0.0000, 0.0000, 0.0000) [1 per cell]
Pm (0.3333, 0.6667, 0.5935) [2 per cell]
Sm (0.3333, 0.6667, 0.2042) [2 per cell]
S (0.0000, 0.0000, 0.3043) [2 per cell]
S (0.3333, 0.6667, 0.8973) [2 per cell]



No. 2
DFT (GGA-PBE) results for a relaxed structure of HoTiTe2.

The uncorrected formation energy comes out at -0.5070 eV per atom. The value obtained for the total energy is -62.35 eV/cell.

Cell lengths 3.7952, 3.7952, 28.5904 Å; angles 90.00, 90.00, 120.00 degrees
Space group R-3m (No. 166, hexagonal axes)
Inequivalent atoms, fractional coordinates:
Ho (0.0000, 0.0000, 0.0000) [3 per cell]
Ti (0.0000, 0.0000, 0.5000) [3 per cell]
Te (0.0000, 0.0000, 0.1065) [6 per cell]



No. 3
DFT (GGA-PBE) results for a relaxed structure of SrMg2AlOs.

The calculation puts the formation energy at -51 meV per atom. The value obtained for the total energy is -20.10 eV/cell.

Cell lengths 5.095, 5.095, 4.829 Å; angles 90.00, 90.00, 90.00 degrees
Space group P4/mmm (No. 123)
Inequivalent atoms, fractional coordinates:
Sr (0.000, 0.000, 0.000) [1 per cell]
Mg (0.000, 0.500, 0.500) [2 per cell]
Al (0.500, 0.500, 0.000) [1 per cell]
Os (0.500, 0.500, 0.500) [1 per cell]



No. 4
DFT (GGA-PBE) results for a relaxed structure of YAlNi3.

Its energy above the most stable polymorph in this dataset is 0 meV/atom. The calculation puts the formation energy at -391 meV per atom. The value obtained for the total energy is -118.01 eV/cell.

Cell lengths 4.937, 8.100, 8.099 Å; angles 90.00, 90.00, 90.00 degrees
Space group Imma (No. 74)
Inequivalent atoms, fractional coordinates:
Y (0.000, 0.250, 0.050) [4 per cell]
Al (0.000, 0.000, 0.500) [4 per cell]
Ni (0.000, 0.250, 0.676) [4 per cell]
Ni (0.250, 0.008, 0.750) [8 per cell]



No. 5
DFT (GGA-PBE) results for a relaxed structure of Ce5CdHgOs2.

The calculation puts the formation energy at -139 meV per atom. The value obtained for the total energy is -218.40 eV/cell.

Cell lengths 7.875, 7.875, 15.021 Å; angles 90.00, 90.00, 90.00 degrees
Space group I4/mcm (No. 140)
Inequivalent atoms, fractional coordinates:
Ce (0.000, 0.000, 0.000) [4 per cell]
Ce (0.218, 0.282, 0.122) [16 per cell]
Cd (0.000, 0.500, 0.250) [4 per cell]
Hg (0.000, 0.000, 0.250) [4 per cell]
Os (0.116, 0.384, 0.500) [8 per cell]



No. 6
DFT (GGA-PBE) results for a relaxed structure of Ho2PuHg6.

The calculation puts the formation energy at -288 meV per atom. The value obtained for the total energy is -111.55 eV/cell.

Cell lengths 14.479, 11.677, 5.444 Å; angles 90.00, 99.82, 90.00 degrees
Space group C2/c (No. 15)
Inequivalent atoms, fractional coordinates:
Ho (0.165, 0.126, 0.086) [8 per cell]
Pu (0.000, 0.379, 0.250) [4 per cell]
Hg (0.055, 0.123, 0.529) [8 per cell]
Hg (0.115, 0.371, 0.804) [8 per cell]
Hg (0.226, 0.375, 0.360) [8 per cell]



No. 7
DFT (GGA-PBE) results for a relaxed structure of CsO3.

Its energy above the most stable polymorph in this dataset is 12 meV/atom. The uncorrected formation energy comes out at -0.6321 eV per atom. The value obtained for the total energy is -73.03 eV/cell.

Cell lengths 7.233, 9.899, 6.412 Å; angles 90.00, 90.00, 90.00 degrees
Space group Cmcm (No. 63)
Inequivalent atoms, fractional coordinates:
Cs (0.000, 0.159, 0.250) [4 per cell]
O (0.000, 0.223, 0.750) [4 per cell]
O (0.159, 0.148, 0.750) [8 per cell]



No. 8
DFT (GGA-PBE) results for a relaxed structure of KCoNi2.

Its energy above the most stable polymorph in this dataset is 72 meV/atom. The calculation puts the formation energy at 601 meV per atom. The value obtained for the total energy is -34.73 eV/cell.

Cell lengths 8.221, 2.642, 6.697 Å; angles 90.00, 95.50, 90.00 degrees
Space group Cm (No. 8)
Inequivalent atoms, fractional coordinates:
K (0.000, 0.000, 0.000) [2 per cell]
Co (0.276, 0.500, 0.376) [2 per cell]
Ni (0.005, 0.500, 0.492) [2 per cell]
Ni (0.229, 0.000, 0.651) [2 per cell]



No. 9
DFT (GGA-PBE) results for a relaxed structure of LiFeNi2H.

The value obtained for the total energy is -25.24 eV/cell.

Cell lengths 3.603, 3.603, 3.627 Å; angles 90.00, 90.00, 90.00 degrees
Space group P4/mmm (No. 123)
Inequivalent atoms, fractional coordinates:
Li (0.000, 0.000, 0.000) [1 per cell]
Fe (0.500, 0.500, 0.000) [1 per cell]
Ni (0.000, 0.500, 0.500) [2 per cell]
H (0.000, 0.000, 0.500) [1 per cell]



No. 10
DFT (GGA-PBE) results for a relaxed structure of La2GaGeAu.

The calculation puts the formation energy at -126 meV per atom. The value obtained for the total energy is -21.41 eV/cell.

Cell lengths 5.727, 5.727, 4.695 Å; angles 90.00, 90.00, 90.00 degrees
Space group P4/mmm (No. 123)
Inequivalent atoms, fractional coordinates:
La (0.000, 0.500, 0.000) [2 per cell]
Ga (0.000, 0.000, 0.000) [1 per cell]
Ge (0.500, 0.500, 0.500) [1 per cell]
Au (0.000, 0.000, 0.500) [1 per cell]



No. 11
DFT (GGA-PBE) results for a relaxed structure of Y2ErCo6.

The calculation puts the formation energy at -184 meV per atom. The value obtained for the total energy is -61.78 eV/cell.

Cell lengths 6.6530, 6.6530, 4.0348 Å; angles 90.00, 90.00, 120.00 degrees
Space group P6/mmm (No. 191)
Inequivalent atoms, fractional coordinates:
Y (0.3333, 0.6667, 0.0000) [2 per cell]
Er (0.0000, 0.0000, 0.0000) [1 per cell]
Co (0.0000, 0.3326, 0.5000) [6 per cell]



No. 12
DFT (GGA-PBE) results for a relaxed structure of Rb2PmRe3O12.

The uncorrected formation energy comes out at -1.9025 eV per atom. The value obtained for the total energy is -413.32 eV/cell.

Cell lengths 7.4296, 7.4296, 18.9933 Å; angles 90.00, 90.00, 120.00 degrees
Space group R-3m (No. 166, hexagonal axes)
Inequivalent atoms, fractional coordinates:
Rb (0.0000, 0.0000, 0.1175) [6 per cell]
Pm (0.0000, 0.0000, 0.5000) [3 per cell]
Re (0.0000, 0.5000, 0.0000) [9 per cell]
O (0.0345, 0.5172, 0.0971) [18 per cell]
O (0.0852, 0.5426, 0.3418) [18 per cell]